No. 1
# YPCl2 (GGA-PBE, optimized geometry)
# Crystal system ... monoclinic
# Total magnetic moment ... 0.00 μB/f.u.
data_YPCl2
_chemical_formula_sum 'Y2 P2 Cl4'
_cell_length_a 14.548
_cell_length_b 3.737
_cell_length_c 4.287
_cell_angle_alpha 90.00
_cell_angle_beta 93.89
_cell_angle_gamma 90.00
_symmetry_space_group_name_H-M 'C 1 2/m 1'
_symmetry_Int_Tables_number 12
loop_
_symmetry_equiv_pos_as_xyz
'x,y,z'
'-x,-y,-z'
'-x,y,-z'
'x,-y,z'
'x+1/2,y+1/2,z'
'-x+1/2,-y+1/2,-z'
'-x+1/2,y+1/2,-z'
'x+1/2,-y+1/2,z'
loop_
_atom_site_label
_atom_site_type_symbol
_atom_site_fract_x
_atom_site_fract_y
_atom_site_fract_z
Y1 Y 0.000 0.000 0.000
P1 P 0.000 0.500 0.500
Cl1 Cl 0.140 0.500 0.213

***

No. 2
# YP2Cl (GGA-PBE, optimized geometry)
# Crystal system ... trigonal
# Total magnetic moment ... 0.00 μB/f.u.
data_YP2Cl
_chemical_formula_sum 'Y3 P6 Cl3'
_cell_length_a 4.5373
_cell_length_b 4.5373
_cell_length_c 17.1867
_cell_angle_alpha 90.00
_cell_angle_beta 90.00
_cell_angle_gamma 120.00
_symmetry_space_group_name_H-M 'R -3 m'
_symmetry_Int_Tables_number 166
_symmetry_space_group_name_Hall '-R 3 2"'
loop_
_atom_site_label
_atom_site_type_symbol
_atom_site_fract_x
_atom_site_fract_y
_atom_site_fract_z
Y1 Y 0.0000 0.0000 0.0000
P1 P 0.0000 0.0000 0.2817
Cl1 Cl 0.0000 0.0000 0.5000

***

No. 3
# Y4PCl (GGA-PBE, optimized geometry)
# Crystal system ... cubic
# Total magnetic moment ... 0.00 μB/f.u.
data_Y4PCl
_chemical_formula_sum 'Y16 P4 Cl4'
_cell_length_a 8.825
_cell_length_b 8.825
_cell_length_c 8.825
_cell_angle_alpha 90.00
_cell_angle_beta 90.00
_cell_angle_gamma 90.00
_symmetry_space_group_name_H-M 'F -4 3 m'
_symmetry_Int_Tables_number 216
_symmetry_space_group_name_Hall 'F -4 2 3'
loop_
_atom_site_label
_atom_site_type_symbol
_atom_site_fract_x
_atom_site_fract_y
_atom_site_fract_z
Y1 Y 0.124 0.124 0.376
P1 P 0.250 0.250 0.750
Cl1 Cl 0.000 0.000 0.000

***

No. 4
# YPCl2 (GGA-PBE, optimized geometry)
# Crystal system ... monoclinic
# Total magnetic moment ... 0.00 μB/f.u.
data_YPCl2
_chemical_formula_sum 'Y2 P2 Cl4'
_cell_length_a 9.411
_cell_length_b 3.882
_cell_length_c 7.000
_cell_angle_alpha 90.00
_cell_angle_beta 99.12
_cell_angle_gamma 90.00
_symmetry_space_group_name_H-M 'C 1 m 1'
_symmetry_Int_Tables_number 8
loop_
_symmetry_equiv_pos_as_xyz
'x,y,z'
'x,-y,z'
'x+1/2,y+1/2,z'
'x+1/2,-y+1/2,z'
loop_
_atom_site_label
_atom_site_type_symbol
_atom_site_fract_x
_atom_site_fract_y
_atom_site_fract_z
Y1 Y 0.000 0.000 0.000
P1 P 0.208 0.500 0.067
Cl1 Cl 0.084 0.500 0.308
Cl2 Cl 0.380 0.000 0.749

***

No. 5
# YPCl2 (GGA-PBE, optimized geometry)
# Crystal system ... orthorhombic
# Total magnetic moment ... 0.80 μB/f.u.
data_YPCl2
_chemical_formula_sum 'Y2 P2 Cl4'
_cell_length_a 3.423
_cell_length_b 5.009
_cell_length_c 14.594
_cell_angle_alpha 90.00
_cell_angle_beta 90.00
_cell_angle_gamma 90.00
_symmetry_space_group_name_H-M 'I m m m'
_symmetry_Int_Tables_number 71
_symmetry_space_group_name_Hall '-I 2 2'
loop_
_atom_site_label
_atom_site_type_symbol
_atom_site_fract_x
_atom_site_fract_y
_atom_site_fract_z
Y1 Y 0.000 0.000 0.000
P1 P 0.000 0.000 0.500
Cl1 Cl 0.000 0.500 0.357

***

No. 6
# YPCl2 (GGA-PBE, optimized geometry)
# Crystal system ... trigonal
# Total magnetic moment ... 0.74 μB/f.u.
data_YPCl2
_chemical_formula_sum 'Y3 P3 Cl6'
_cell_length_a 3.5287
_cell_length_b 3.5287
_cell_length_c 30.6761
_cell_angle_alpha 90.00
_cell_angle_beta 90.00
_cell_angle_gamma 120.00
_symmetry_space_group_name_H-M 'R -3 m'
_symmetry_Int_Tables_number 166
_symmetry_space_group_name_Hall '-R 3 2"'
loop_
_atom_site_label
_atom_site_type_symbol
_atom_site_fract_x
_atom_site_fract_y
_atom_site_fract_z
Y1 Y 0.0000 0.0000 0.0000
P1 P 0.0000 0.0000 0.5000
Cl1 Cl 0.0000 0.0000 0.2758

***

No. 7
# Y3PCl (GGA-PBE, optimized geometry)
# Crystal system ... cubic
# Total magnetic moment ... 0.01 μB/f.u.
data_Y3PCl
_chemical_formula_sum 'Y3 P1 Cl1'
_cell_length_a 5.340
_cell_length_b 5.340
_cell_length_c 5.340
_cell_angle_alpha 90.00
_cell_angle_beta 90.00
_cell_angle_gamma 90.00
_symmetry_space_group_name_H-M 'P m -3 m'
_symmetry_Int_Tables_number 221
_symmetry_space_group_name_Hall '-P 4 2 3'
loop_
_atom_site_label
_atom_site_type_symbol
_atom_site_fract_x
_atom_site_fract_y
_atom_site_fract_z
Y1 Y 0.000 0.000 0.500
P1 P 0.000 0.000 0.000
Cl1 Cl 0.500 0.500 0.500

***

No. 8
# YP2Cl (GGA-PBE, optimized geometry)
# Crystal system ... tetragonal
# Total magnetic moment ... 0.00 μB/f.u.
data_YP2Cl
_chemical_formula_sum 'Y1 P2 Cl1'
_cell_length_a 3.933
_cell_length_b 3.933
_cell_length_c 5.735
_cell_angle_alpha 90.00
_cell_angle_beta 90.00
_cell_angle_gamma 90.00
_symmetry_space_group_name_H-M 'P 4/m m m'
_symmetry_Int_Tables_number 123
_symmetry_space_group_name_Hall '-P 4 2'
loop_
_atom_site_label
_atom_site_type_symbol
_atom_site_fract_x
_atom_site_fract_y
_atom_site_fract_z
Y1 Y 0.000 0.000 0.000
P1 P 0.500 0.500 0.185
Cl1 Cl 0.000 0.000 0.500

***

No. 9
# YPCl2 (GGA-PBE, optimized geometry)
# Crystal system ... tetragonal
# Total magnetic moment ... 0.00 μB/f.u.
data_YPCl2
_chemical_formula_sum 'Y4 P4 Cl8'
_cell_length_a 4.376
_cell_length_b 4.376
_cell_length_c 18.677
_cell_angle_alpha 90.00
_cell_angle_beta 90.00
_cell_angle_gamma 90.00
_symmetry_space_group_name_H-M 'I -4 2 d'
_symmetry_Int_Tables_number 122
_symmetry_space_group_name_Hall 'I -4 2bw'
loop_
_atom_site_label
_atom_site_type_symbol
_atom_site_fract_x
_atom_site_fract_y
_atom_site_fract_z
Y1 Y 0.000 0.000 0.000
P1 P 0.000 0.000 0.500
Cl1 Cl 0.245 0.250 0.125

***

No. 10
# YP2Cl (GGA-PBE, optimized geometry)
# Crystal system ... tetragonal
# Total magnetic moment ... 0.00 μB/f.u.
data_YP2Cl
_chemical_formula_sum 'Y4 P8 Cl4'
_cell_length_a 3.917
_cell_length_b 3.917
_cell_length_c 21.778
_cell_angle_alpha 90.00
_cell_angle_beta 90.00
_cell_angle_gamma 90.00
_symmetry_space_group_name_H-M 'I -4 2 d'
_symmetry_Int_Tables_number 122
_symmetry_space_group_name_Hall 'I -4 2bw'
loop_
_atom_site_label
_atom_site_type_symbol
_atom_site_fract_x
_atom_site_fract_y
_atom_site_fract_z
Y1 Y 0.000 0.000 0.000
P1 P 0.160 0.250 0.125
Cl1 Cl 0.000 0.000 0.500

***

No. 11
# YPCl2 (GGA-PBE, optimized geometry)
# Crystal system ... tetragonal
# Total magnetic moment ... 0.00 μB/f.u.
data_YPCl2
_chemical_formula_sum 'Y1 P1 Cl2'
_cell_length_a 4.028
_cell_length_b 4.028
_cell_length_c 7.945
_cell_angle_alpha 90.00
_cell_angle_beta 90.00
_cell_angle_gamma 90.00
_symmetry_space_group_name_H-M 'P 4 m m'
_symmetry_Int_Tables_number 99
loop_
_symmetry_equiv_pos_as_xyz
'x,y,z'
'-y,x,z'
'-x,-y,z'
'y,-x,z'
'-x,y,z'
'y,x,z'
'x,-y,z'
'-y,-x,z'
loop_
_atom_site_label
_atom_site_type_symbol
_atom_site_fract_x
_atom_site_fract_y
_atom_site_fract_z
Y1 Y 0.000 0.000 0.000
P1 P 0.500 0.500 0.054
Cl1 Cl 0.000 0.000 0.696
Cl2 Cl 0.500 0.500 0.322

***

No. 12
# YP2Cl (GGA-PBE, optimized geometry)
# Crystal system ... orthorhombic
# Total magnetic moment ... 0.00 μB/f.u.
data_YP2Cl
_chemical_formula_sum 'Y2 P4 Cl2'
_cell_length_a 3.492
_cell_length_b 5.182
_cell_length_c 12.221
_cell_angle_alpha 90.00
_cell_angle_beta 90.00
_cell_angle_gamma 90.00
_symmetry_space_group_name_H-M 'I m m 2'
_symmetry_Int_Tables_number 44
loop_
_symmetry_equiv_pos_as_xyz
'x,y,z'
'-x,-y,z'
'-x,y,z'
'x,-y,z'
'x+1/2,y+1/2,z+1/2'
'-x+1/2,-y+1/2,z+1/2'
'-x+1/2,y+1/2,z+1/2'
'x+1/2,-y+1/2,z+1/2'
loop_
_atom_site_label
_atom_site_type_symbol
_atom_site_fract_x
_atom_site_fract_y
_atom_site_fract_z
Y1 Y 0.000 0.000 0.000
P1 P 0.000 0.000 0.444
P2 P 0.000 0.500 0.067
Cl1 Cl 0.000 0.500 0.663

***

No. 13
# YPCl3 (GGA-PBE, optimized geometry)
# Crystal system ... cubic
# Total magnetic moment ... 3.00 μB/f.u.
data_YPCl3
_chemical_formula_sum 'Y1 P1 Cl3'
_cell_length_a 5.338
_cell_length_b 5.338
_cell_length_c 5.338
_cell_angle_alpha 90.00
_cell_angle_beta 90.00
_cell_angle_gamma 90.00
_symmetry_space_group_name_H-M 'P m -3 m'
_symmetry_Int_Tables_number 221
_symmetry_space_group_name_Hall '-P 4 2 3'
loop_
_atom_site_label
_atom_site_type_symbol
_atom_site_fract_x
_atom_site_fract_y
_atom_site_fract_z
Y1 Y 0.000 0.000 0.000
P1 P 0.500 0.500 0.500
Cl1 Cl 0.000 0.000 0.500

***

No. 14
# YP2Cl (GGA-PBE, optimized geometry)
# Crystal system ... cubic
# Total magnetic moment ... 0.00 μB/f.u.
data_YP2Cl
_chemical_formula_sum 'Y4 P8 Cl4'
_cell_length_a 6.891
_cell_length_b 6.891
_cell_length_c 6.891
_cell_angle_alpha 90.00
_cell_angle_beta 90.00
_cell_angle_gamma 90.00
_symmetry_space_group_name_H-M 'F m -3 m'
_symmetry_Int_Tables_number 225
_symmetry_space_group_name_Hall '-F 4 2 3'
loop_
_atom_site_label
_atom_site_type_symbol
_atom_site_fract_x
_atom_site_fract_y
_atom_site_fract_z
Y1 Y 0.000 0.000 0.000
P1 P 0.250 0.250 0.250
Cl1 Cl 0.000 0.000 0.500

***

No. 15
# YP4Cl (GGA-PBE, optimized geometry)
# Crystal system ... cubic
# Total magnetic moment ... 0.00 μB/f.u.
data_YP4Cl
_chemical_formula_sum 'Y4 P16 Cl4'
_cell_length_a 7.597
_cell_length_b 7.597
_cell_length_c 7.597
_cell_angle_alpha 90.00
_cell_angle_beta 90.00
_cell_angle_gamma 90.00
_symmetry_space_group_name_H-M 'F -4 3 m'
_symmetry_Int_Tables_number 216
_symmetry_space_group_name_Hall 'F -4 2 3'
loop_
_atom_site_label
_atom_site_type_symbol
_atom_site_fract_x
_atom_site_fract_y
_atom_site_fract_z
Y1 Y 0.000 0.000 0.000
P1 P 0.110 0.110 0.390
Cl1 Cl 0.250 0.250 0.750

***

No. 16
# YP2Cl (GGA-PBE, optimized geometry)
# Crystal system ... monoclinic
# Total magnetic moment ... 0.00 μB/f.u.
data_YP2Cl
_chemical_formula_sum 'Y2 P4 Cl2'
_cell_length_a 10.575
_cell_length_b 3.415
_cell_length_c 4.777
_cell_angle_alpha 90.00
_cell_angle_beta 99.72
_cell_angle_gamma 90.00
_symmetry_space_group_name_H-M 'C 1 2/m 1'
_symmetry_Int_Tables_number 12
loop_
_symmetry_equiv_pos_as_xyz
'x,y,z'
'-x,-y,-z'
'-x,y,-z'
'x,-y,z'
'x+1/2,y+1/2,z'
'-x+1/2,-y+1/2,-z'
'-x+1/2,y+1/2,-z'
'x+1/2,-y+1/2,z'
loop_
_atom_site_label
_atom_site_type_symbol
_atom_site_fract_x
_atom_site_fract_y
_atom_site_fract_z
Y1 Y 0.000 0.000 0.000
P1 P 0.237 0.500 0.145
Cl1 Cl 0.000 0.500 0.500

***

No. 17
# YP2Cl (GGA-PBE, optimized geometry)
# Crystal system ... orthorhombic
# Total magnetic moment ... 0.00 μB/f.u.
data_YP2Cl
_chemical_formula_sum 'Y2 P4 Cl2'
_cell_length_a 4.920
_cell_length_b 8.530
_cell_length_c 4.342
_cell_angle_alpha 90.00
_cell_angle_beta 90.00
_cell_angle_gamma 90.00
_symmetry_space_group_name_H-M 'C m m m'
_symmetry_Int_Tables_number 65
_symmetry_space_group_name_Hall '-C 2 2'
loop_
_atom_site_label
_atom_site_type_symbol
_atom_site_fract_x
_atom_site_fract_y
_atom_site_fract_z
Y1 Y 0.000 0.000 0.000
P1 P 0.250 0.250 0.500
Cl1 Cl 0.000 0.500 0.000

***

No. 18
# YPCl3 (GGA-PBE, optimized geometry)
# Crystal system ... cubic
# Total magnetic moment ... 1.26 μB/f.u.
data_YPCl3
_chemical_formula_sum 'Y1 P1 Cl3'
_cell_length_a 4.987
_cell_length_b 4.987
_cell_length_c 4.987
_cell_angle_alpha 90.00
_cell_angle_beta 90.00
_cell_angle_gamma 90.00
_symmetry_space_group_name_H-M 'P m -3 m'
_symmetry_Int_Tables_number 221
_symmetry_space_group_name_Hall '-P 4 2 3'
loop_
_atom_site_label
_atom_site_type_symbol
_atom_site_fract_x
_atom_site_fract_y
_atom_site_fract_z
Y1 Y 0.000 0.000 0.000
P1 P 0.500 0.500 0.500
Cl1 Cl 0.000 0.500 0.500

***

No. 19
# Y2P2Cl (GGA-PBE, optimized geometry)
# Crystal system ... tetragonal
# Total magnetic moment ... 0.00 μB/f.u.
data_Y2P2Cl
_chemical_formula_sum 'Y4 P4 Cl2'
_cell_length_a 7.469
_cell_length_b 7.469
_cell_length_c 3.829
_cell_angle_alpha 90.00
_cell_angle_beta 90.00
_cell_angle_gamma 90.00
_symmetry_space_group_name_H-M 'P 4/m b m'
_symmetry_Int_Tables_number 127
_symmetry_space_group_name_Hall '-P 4 2ab'
loop_
_atom_site_label
_atom_site_type_symbol
_atom_site_fract_x
_atom_site_fract_y
_atom_site_fract_z
Y1 Y 0.176 0.324 0.000
P1 P 0.111 0.611 0.500
Cl1 Cl 0.000 0.000 0.000

***

No. 20
# YPCl2 (GGA-PBE, optimized geometry)
# Crystal system ... trigonal
# Total magnetic moment ... 0.72 μB/f.u.
data_YPCl2
_chemical_formula_sum 'Y3 P3 Cl6'
_cell_length_a 3.5086
_cell_length_b 3.5086
_cell_length_c 32.2206
_cell_angle_alpha 90.00
_cell_angle_beta 90.00
_cell_angle_gamma 120.00
_symmetry_space_group_name_H-M 'R -3 m'
_symmetry_Int_Tables_number 166
_symmetry_space_group_name_Hall '-R 3 2"'
loop_
_atom_site_label
_atom_site_type_symbol
_atom_site_fract_x
_atom_site_fract_y
_atom_site_fract_z
Y1 Y 0.0000 0.0000 0.0000
P1 P 0.0000 0.0000 0.5000
Cl1 Cl 0.0000 0.0000 0.3884

***

These records have calculated total energy values of -41.41 -57.52 -125.70 -40.74 -39.63 -54.91 -29.00 -22.25 -77.73 -88.59 -20.44 -45.46 -22.66 -76.15 -125.68 -45.94 -41.76 -18.12 -65.74 -54.95 eV for the cell shown, in the order they appear.